# Ti4MnTc2 | the Alexandria database | PBE | optimized geometry
data_Ti4MnTc2
_chemical_formula_sum 'Ti4 Mn1 Tc2'
_cell_length_a 5.2650
_cell_length_b 5.2650
_cell_length_c 5.2650
_cell_angle_alpha 108.31
_cell_angle_beta 110.06
_cell_angle_gamma 110.06
_space_group_name_H-M_alt 'P 1'
_space_group_IT_number 1
loop_
_space_group_symop_operation_xyz
'x,y,z'
loop_
_atom_site_label
_atom_site_fract_x
_atom_site_fract_y
_atom_site_fract_z
Ti1 0.5000 0.0000 0.0000
Ti2 0.5000 0.5000 0.5000
Ti3 0.0000 0.0000 0.5000
Ti4 0.0000 0.5000 0.0000
Mn1 0.0000 0.0000 0.0000
Tc1 0.5000 0.5000 0.0000
Tc2 0.5000 0.0000 0.5000
# - SG: I4/mmm, No. 139
# - Energy above the most stable polymorph in this dataset: 0 meV per atom
# - Electronic total energy: -8.918 eV/atom
# - DOS(E_F): 8.11 states/eV per cell
# - Formation energy: -0.135 eV/atom